Record 1
# NbCu2Pd4

Crystalline NbCu2Pd4 at its relaxed geometry (PBE, the Alexandria database).

The structure belongs to space group P2_1/c (No. 14); the cell edges are 4.7561, 8.9949 and 5.0117 Å and the angles 90.00°, 94.73° and 90.00°. Symmetry generates all atoms from Nb at (0.0000, 0.0000, 0.0000), Cu at (0.3819, 0.0897, 0.3646), Pd at (0.0788, 0.6691, 0.9689) and Pd at (0.4668, 0.1414, 0.8781).

As for the density of states at the Fermi level: 8.274 states/eV/cell. The value obtained for the energy relative to the elements is -0.07 eV per atom. For the excess energy over the best structure of this formula in the dataset, the calculation gives 0.139 eV per atom.

=====

Record 2
# RbCa2Pb

Crystalline RbCa2Pb at its relaxed geometry (PBE, the Alexandria database).

The structure belongs to space group I-42d (No. 122); the cell edges are 7.3831, 7.3831 and 19.5622 Å and the angles 90.00°, 90.00° and 90.00°. Symmetry generates all atoms from Rb at (0.0000, 0.0000, 0.0000), Ca at (0.0009, 0.7500, 0.6250) and Pb at (0.0000, 0.0000, 0.5000).

As for the density of states at the Fermi level: 10.199 states/eV/cell. The value obtained for the energy relative to the elements is 0.16 eV per atom.

=====

Record 3
# Ca2ReMoN5

Crystalline Ca2ReMoN5 at its relaxed geometry (PBE, the Alexandria database).

The structure belongs to space group Cmc2_1 (No. 36); the cell edges are 3.2300, 13.0818 and 10.8937 Å and the angles 90.00°, 90.00° and 90.00°. Symmetry generates all atoms from Ca at (0.0000, 0.0974, 0.0000), Ca at (0.0000, 0.1547, 0.6120), Re at (0.0000, 0.4703, 0.7652), Mo at (0.0000, 0.2312, 0.3419), N at (0.0000, 0.0486, 0.3552), N at (0.0000, 0.2743, 0.9623), N at (0.0000, 0.3186, 0.7178), N at (0.0000, 0.3699, 0.3129) and N at (0.0000, 0.4889, 0.1044).

As for the density of states at the Fermi level: 11.886 states/eV/cell. The electronic total energy is -8.2096 eV per atom.

=====

Record 4
# Ac4SnGeO

Crystalline Ac4SnGeO at its relaxed geometry (PBE, the Alexandria database).

The structure belongs to space group Cmcm (No. 63); the cell edges are 7.0369, 18.1967 and 7.0747 Å and the angles 90.00°, 90.00° and 90.00°. Symmetry generates all atoms from Ac at (0.0000, 0.0610, 0.2500), Ac at (0.0000, 0.4254, 0.2500), Ac at (0.2500, 0.2500, 0.0000), Sn at (0.0000, 0.3869, 0.7500), Ge at (0.0000, 0.1191, 0.7500) and O at (0.0000, 0.2899, 0.2500).

As for the density of states at the Fermi level: 24.057 states/eV/cell. The electronic total energy is -5.4500 eV per atom.

=====

Record 5
# Sr2CaHg10

Crystalline Sr2CaHg10 at its relaxed geometry (PBE, the Alexandria database).

The structure belongs to space group Pbam (No. 55); the cell edges are 11.2519, 13.5382 and 5.8335 Å and the angles 90.00°, 90.00° and 90.00°. Symmetry generates all atoms from Sr at (0.1263, 0.1693, 0.0000), Ca at (0.0000, 0.5000, 0.5000), Hg at (0.0247, 0.8868, 0.5000), Hg at (0.0998, 0.6933, 0.2454), Hg at (0.1841, 0.3160, 0.5000) and Hg at (0.2265, 0.0329, 0.5000).

As for the density of states at the Fermi level: 15.592 states/eV/cell. The value obtained for the energy relative to the elements is -0.18 eV per atom.

=====

Record 6
# LaMoIr4

Crystalline LaMoIr4 at its relaxed geometry (PBE, the Alexandria database).

The structure belongs to space group F-43m (No. 216); the cell edges are 7.5120, 7.5120 and 7.5120 Å and the angles 90.00°, 90.00° and 90.00°. Symmetry generates all atoms from La at (0.0000, 0.0000, 0.0000), Mo at (0.2500, 0.2500, 0.7500) and Ir at (0.1249, 0.1249, 0.3751).

As for the density of states at the Fermi level: 27.410 states/eV/cell. The value obtained for the energy relative to the elements is -0.03 eV per atom.

=====

Record 7
# SbPPbCl2

Crystalline SbPPbCl2 at its relaxed geometry (PBE, the Alexandria database).

The structure belongs to space group P4/mmm (No. 123); the cell edges are 5.4293, 5.4293 and 5.7636 Å and the angles 90.00°, 90.00° and 90.00°. Symmetry generates all atoms from Sb at (0.0000, 0.0000, 0.0000), P at (0.5000, 0.5000, 0.0000), Pb at (0.5000, 0.5000, 0.5000) and Cl at (0.0000, 0.5000, 0.5000).

As for the density of states at the Fermi level: 3.065 states/eV/cell. For the excess energy over the best structure of this formula in the dataset, the calculation gives 0.270 eV per atom.

=====

Record 8
# SmVGa2

Crystalline SmVGa2 at its relaxed geometry (PBE, the Alexandria database).

The structure belongs to space group R-3m (No. 166, hexagonal axes); the cell edges are 3.0199, 3.0199 and 31.5493 Å and the angles 90.00°, 90.00° and 120.00°. Symmetry generates all atoms from Sm at (0.0000, 0.0000, 0.0000), V at (0.0000, 0.0000, 0.5000) and Ga at (0.0000, 0.0000, 0.4199).

As for the density of states at the Fermi level: 15.566 states/eV/cell. The value obtained for the energy relative to the elements is 0.42 eV per atom.

=====

| no. | theoretical density (g cm⁻³) |
| --- | --- |
| 1 | 10.0 |
| 2 | 2.3 |
| 3 | 6.2 |
| 4 | 8.2 |
| 5 | 8.3 |
| 6 | 15.7 |
| 7 | 4.2 |
| 8 | 6.8 |